# 1
Here is a relaxed WAuBr2 crystal from Alexandria. Energies are from GGA-PBE.

Cell: 4.789 4.789 4.789 Å, 60.00 60.00 60.00°
Last column: magnetic moment on the atom in μB.
Positions (direct):
Au 0.500 0.500 0.500  0.02
Br 0.250 0.250 0.250  -0.03
Br 0.750 0.750 0.750  -0.03
W 0.000 0.000 0.000  0.95

Output
Relative energy among the computed polymorphs   0.972 eV per atom
Space-group type   No. 225
Energy relative to the elements, uncorrected   115 kJ per mole of atoms

=====

# 2
Here is a relaxed YGaCu6 crystal from Alexandria. Energies are from GGA-PBE.

Cell: 4.902 4.902 4.902 Å, 90.00 90.00 90.00°
Positions (direct):
Y 0.500 0.500 0.500
Ga 0.000 0.000 0.000
Cu 0.500 0.759 0.000
Cu 0.759 0.000 0.500
Cu 0.000 0.500 0.241
Cu 0.241 0.000 0.500
Cu 0.500 0.241 0.000
Cu 0.000 0.500 0.759

Output
Space-group type   No. 200
Energy of formation from the pure elements   0.01 eV per atom

=====

# 3
Here is a relaxed PuTlNiSe3 crystal from Alexandria. Energies are from GGA-PBE.

Cell: 4.060 9.163 9.419 Å, 108.43 90.00 90.00°
Last column: magnetic moment on the atom in μB.
Positions (direct):
Pu 0.250 0.679 0.158  4.84
Pu 0.750 0.321 0.842  4.84
Tl 0.750 0.803 0.778  -0.02
Tl 0.250 0.197 0.222  -0.02
Ni 0.250 0.081 0.584  -0.48
Ni 0.750 0.919 0.416  -0.48
Se 0.250 0.812 0.473  -0.12
Se 0.750 0.888 0.147  -0.16
Se 0.750 0.460 0.162  -0.15
Se 0.750 0.188 0.527  -0.12
Se 0.250 0.540 0.838  -0.15
Se 0.250 0.112 0.853  -0.16

Output
Space-group type   No. 11
Energy relative to the elements, uncorrected   -79 kJ per mole of atoms

=====

# 4
Here is a relaxed Pm2Er2Sn7 crystal from Alexandria. Energies are from GGA-PBE.

Cell: 7.051 7.242 7.051 Å, 90.00 99.95 90.00°
Positions (direct):
Pm 0.714 0.000 0.286
Pm 0.286 0.000 0.714
Er 0.811 0.500 0.811
Er 0.189 0.500 0.189
Sn 0.000 0.299 0.500
Sn 0.500 0.701 0.000
Sn 0.000 0.701 0.500
Sn 0.500 0.299 0.000
Sn 0.000 0.000 0.000
Sn 0.500 0.696 0.500
Sn 0.500 0.304 0.500

Output
Space-group type   No. 65
Energy of formation from the pure elements   -0.19 eV per atom

=====

# 5
Here is a relaxed Rb4Cd3AgCl12 crystal from Alexandria. Energies are from GGA-PBE.

Cell: 9.109 9.109 9.109 Å, 109.47 109.47 109.47°
Positions (direct):
Rb 0.500 0.500 0.500
Rb 0.000 0.000 0.500
Rb 0.500 0.000 0.000
Rb 0.000 0.500 0.000
Cd 0.500 0.000 0.500
Cd 0.500 0.500 0.000
Cd 0.000 0.500 0.500
Ag 0.000 0.000 0.000
Cl 0.250 0.500 0.750
Cl 0.749 0.000 0.749
Cl 0.251 0.000 0.251
Cl 0.750 0.500 0.250
Cl 0.749 0.749 0.000
Cl 0.251 0.251 0.000
Cl 0.750 0.250 0.500
Cl 0.250 0.750 0.500
Cl 0.500 0.250 0.750
Cl 0.000 0.749 0.749
Cl 0.500 0.750 0.250
Cl 0.000 0.251 0.251

Output
Space-group type   No. 229
Energy relative to the elements, uncorrected   -127 kJ per mole of atoms

=====

# 6
Here is a relaxed CaThH4 crystal from Alexandria. Energies are from GGA-PBE.

Cell: 3.812 3.812 5.443 Å, 90.00 90.00 90.01°
Positions (direct):
Ca 0.500 0.000 0.500
Th 0.000 0.500 0.000
H 0.500 0.500 0.751
H 0.000 0.000 0.751
H 0.000 0.000 0.249
H 0.500 0.500 0.249

Output
Space-group type   No. 123
DFT total energy   -26.1 eV per cell

=====

# 7
Here is a relaxed Ta5Cd crystal from Alexandria. Energies are from GGA-PBE.

Cell: 5.886 5.886 7.320 Å, 77.94 77.94 27.11°
Positions (direct):
Ta 0.605 0.605 0.300
Ta 0.341 0.341 0.316
Ta 0.936 0.936 0.621
Ta 0.677 0.677 0.650
Ta 0.268 0.268 0.960
Cd 0.006 0.006 0.987

Output
Relative energy among the computed polymorphs   0.097 eV per atom
Space-group type   No. 8
Energy of formation from the pure elements   0.26 eV per atom

=====

# 8
Here is a relaxed Cu19Sn16 crystal from Alexandria. Energies are from GGA-PBE.

Cell: 7.364 9.936 9.983 Å, 118.04 90.09 90.15°
Positions (direct):
Cu 0.758 0.309 0.193
Cu 0.256 0.187 0.810
Cu 0.250 0.687 0.813
Cu 0.746 0.816 0.187
Cu 0.261 0.445 0.058
Cu 0.777 0.058 0.942
Cu 0.724 0.559 0.942
Cu 0.229 0.939 0.059
Cu 0.231 0.189 0.316
Cu 0.723 0.316 0.686
Cu 0.776 0.816 0.681
Cu 0.259 0.682 0.313
Cu 0.743 0.067 0.430
Cu 0.254 0.433 0.567
Cu 0.258 0.931 0.569
Cu 0.756 0.566 0.432
Cu 0.092 0.938 0.809
Cu 0.412 0.437 0.812
Cu 0.912 0.063 0.191
Sn 0.100 0.213 0.071
Sn 0.598 0.298 0.945
Sn 0.906 0.785 0.928
Sn 0.407 0.709 0.079
Sn 0.553 0.064 0.183
Sn 0.052 0.436 0.815
Sn 0.451 0.937 0.815
Sn 0.915 0.563 0.183
Sn 0.593 0.814 0.439
Sn 0.096 0.667 0.545
Sn 0.407 0.169 0.545
Sn 0.910 0.331 0.459
Sn 0.085 0.926 0.325
Sn 0.587 0.577 0.677
Sn 0.908 0.077 0.678
Sn 0.423 0.434 0.313

Output
Space-group type   No. 1
Energy of formation from the pure elements   -0.02 eV per atom

=====

# 9
Here is a relaxed SrSn2SbPd2 crystal from Alexandria. Energies are from GGA-PBE.

Cell: 5.092 5.092 6.327 Å, 90.00 90.00 90.00°
Positions (direct):
Sr 0.000 0.000 0.500
Sn 0.500 0.500 0.745
Sn 0.500 0.500 0.255
Sb 0.000 0.000 0.000
Pd 0.500 0.000 0.000
Pd 0.000 0.500 0.000

Output
Space-group type   No. 123
Energy relative to the elements, uncorrected   -32 kJ per mole of atoms

=====

# 10
Here is a relaxed PrDy5Sc2 crystal from Alexandria. Energies are from GGA-PBE.

Cell: 7.044 12.137 11.299 Å, 90.00 90.00 90.00°
Positions (direct):
Pr 0.500 0.421 0.753
Pr 0.500 0.579 0.247
Pr 0.500 0.079 0.253
Pr 0.500 0.921 0.747
Dy 0.756 0.167 0.749
Dy 0.756 0.833 0.251
Dy 0.244 0.333 0.249
Dy 0.244 0.667 0.751
Dy 0.244 0.833 0.251
Dy 0.244 0.167 0.749
Dy 0.756 0.667 0.751
Dy 0.756 0.333 0.249
Dy 0.500 0.253 0.000
Dy 0.500 0.747 0.000
Dy 0.500 0.247 0.500
Dy 0.500 0.753 0.500
Dy 0.000 0.254 0.999
Dy 0.000 0.746 0.001
Dy 0.000 0.246 0.499
Dy 0.000 0.754 0.501
Dy 0.755 0.000 0.000
Dy 0.245 0.500 0.500
Dy 0.245 0.000 0.000
Dy 0.755 0.500 0.500
Sc 0.000 0.917 0.746
Sc 0.000 0.083 0.254
Sc 0.000 0.583 0.246
Sc 0.000 0.417 0.754
Sc 0.759 0.000 0.500
Sc 0.241 0.500 0.000
Sc 0.241 0.000 0.500
Sc 0.759 0.500 0.000

Output
Relative energy among the computed polymorphs   0.000 eV per atom
Space-group type   No. 55
Energy of formation from the pure elements   0.03 eV per atom

=====

# 11
Here is a relaxed ZnCuO2F crystal from Alexandria. Energies are from GGA-PBE.

Cell: 3.801 3.801 3.759 Å, 90.00 90.00 90.00°
Positions (direct):
Zn 0.500 0.500 0.500
O 0.000 0.500 0.000
O 0.500 0.000 0.000
Cu 0.000 0.000 0.000
F 0.000 0.000 0.500

Output
Space-group type   No. 123
Energy relative to the elements, uncorrected   -54 kJ per mole of atoms

=====

# 12
Here is a relaxed SnBRh3 crystal from Alexandria. Energies are from GGA-PBE.

Cell: 5.590 6.650 3.823 Å, 90.00 90.00 97.28°
Positions (direct):
B 0.585 0.132 0.043
B 0.070 0.960 0.543
Rh 0.377 0.194 0.543
Rh 0.851 0.196 0.543
Rh 0.278 0.898 0.043
Rh 0.804 0.895 0.043
Rh 0.652 0.448 0.043
Rh 0.003 0.643 0.543
Sn 0.144 0.395 0.043
Sn 0.511 0.697 0.543

Output
Space-group type   No. 11
Energy of formation from the pure elements   -0.36 eV per atom

=====

# 13
Here is a relaxed LiVCd crystal from Alexandria. Energies are from GGA-PBE.

Cell: 9.984 5.270 5.270 Å, 125.53 142.40 37.60°
Positions (direct):
Cd 0.281 0.969 0.031
Cd 0.719 0.031 0.969
Li 0.760 0.324 0.676
Li 0.240 0.676 0.324
V 0.174 0.387 0.613
V 0.826 0.613 0.387

Output
Relative energy among the computed polymorphs   0.131 eV per atom
Space-group type   No. 12
Energy of formation from the pure elements   0.26 eV per atom

=====

# 14
Here is a relaxed ZnCr5 crystal from Alexandria. Energies are from GGA-PBE.

Cell: 4.709 4.709 4.709 Å, 60.00 60.00 60.00°
Positions (direct):
Zn 0.000 0.000 0.000
Cr 0.878 0.374 0.374
Cr 0.750 0.750 0.750
Cr 0.374 0.878 0.374
Cr 0.374 0.374 0.374
Cr 0.374 0.374 0.878

Output
Relative energy among the computed polymorphs   0.084 eV per atom
Space-group type   No. 216
Energy of formation from the pure elements   0.23 eV per atom

=====

# 15
Here is a relaxed Y6SiTe3P2 crystal from Alexandria. Energies are from GGA-PBE.

Cell: 4.158 8.551 9.510 Å, 105.14 102.63 90.00°
Positions (direct):
Y 0.341 0.895 0.682
Y 0.675 0.562 0.351
Y 0.659 0.105 0.318
Y 0.008 0.232 0.016
Y 0.992 0.768 0.984
Y 0.325 0.438 0.649
Si 0.500 0.000 0.000
Te 0.500 0.500 0.000
Te 0.833 0.167 0.666
Te 0.167 0.833 0.334
P 0.833 0.665 0.665
P 0.167 0.335 0.335

Output
Space-group type   No. 12
Energy relative to the elements, uncorrected   -138 kJ per mole of atoms

=====

# 16
Here is a relaxed CaAcSbBr crystal from Alexandria. Energies are from GGA-PBE.

Cell: 5.582 5.582 5.582 Å, 60.00 60.00 60.00°
Positions (direct):
Sb 0.250 0.250 0.250
Ac 0.000 0.000 0.000
Ca 0.500 0.500 0.500
Br 0.750 0.750 0.750

Output
Space-group type   No. 216
Energy relative to the elements, uncorrected   -112 kJ per mole of atoms

=====

# 17
Here is a relaxed La2TbPm5 crystal from Alexandria. Energies are from GGA-PBE.

Cell: 5.745 6.683 16.370 Å, 90.00 90.00 115.46°
Positions (direct):
La 0.780 0.560 0.370
La 0.780 0.560 0.130
La 0.220 0.440 0.630
La 0.220 0.440 0.870
Tb 0.742 0.484 0.750
Tb 0.258 0.516 0.250
Pm 0.923 0.845 0.908
Pm 0.923 0.845 0.592
Pm 0.382 0.764 0.449
Pm 0.382 0.764 0.051
Pm 0.536 0.073 0.250
Pm 0.464 0.927 0.750
Pm 0.618 0.236 0.551
Pm 0.618 0.236 0.949
Pm 0.077 0.155 0.092
Pm 0.077 0.155 0.408

Output
Relative energy among the computed polymorphs   0.036 eV per atom
Space-group type   No. 63
Energy of formation from the pure elements   0.12 eV per atom

=====

# 18
Here is a relaxed CaY5Cd4 crystal from Alexandria. Energies are from GGA-PBE.

Cell: 3.753 3.753 20.339 Å, 90.00 90.00 90.00°
Last column: magnetic moment on the atom in μB.
Positions (direct):
Ca 0.000 0.000 0.000  0.02
Y 0.500 0.500 0.134  0.07
Y 0.500 0.500 0.316  0.01
Y 0.500 0.500 0.500  0.01
Y 0.500 0.500 0.684  0.01
Y 0.500 0.500 0.866  0.07
Cd 0.000 0.000 0.223  0.00
Cd 0.000 0.000 0.407  0.00
Cd 0.000 0.000 0.593  0.00
Cd 0.000 0.000 0.777  0.00

Output
Space-group type   No. 123
Energy of formation from the pure elements   -0.25 eV per atom

=====

# 19
Here is a relaxed Dy4InPdRu2 crystal from Alexandria. Energies are from GGA-PBE.

Cell: 4.970 4.970 8.617 Å, 73.24 73.24 60.00°
Positions (direct):
Dy 0.380 0.380 0.859
Dy 0.871 0.871 0.387
Dy 0.129 0.129 0.613
Dy 0.620 0.620 0.141
In 0.000 0.000 0.000
Pd 0.500 0.500 0.500
Ru 0.748 0.748 0.755
Ru 0.252 0.252 0.245

Output
Space-group type   No. 166
Energy of formation from the pure elements   -0.49 eV per atom

=====

# 20
Here is a relaxed TlAg2Ru crystal from Alexandria. Energies are from GGA-PBE.

Cell: 4.682 4.682 4.682 Å, 60.00 60.00 60.00°
Positions (direct):
Ru 0.000 0.000 0.000
Tl 0.500 0.500 0.500
Ag 0.250 0.250 0.250
Ag 0.750 0.750 0.750

Output
Relative energy among the computed polymorphs   0.222 eV per atom
Space-group type   No. 225
Energy of formation from the pure elements   0.62 eV per atom